1.
Below is a geometry-optimized NdGd2NiSn3Pd2 structure, with properties calculated at the PBE level.

Properties
- space-group type = Amm2
- total magnetic moment (μB/f.u.) = 0.0
- total DFT energy (no corrections) (eV/atom) = -5.53

a b c (Å): 3.9965 7.5727 7.5727
angles (deg): 120.14 90.00 90.00
Closest atoms and distances in Å follow each position.
Fractional positions:
Gd: 0.0000 0.5941 0.0003  4 Pd 3.03, 1 Ni 3.07, 6 Sn 3.31-3.35
Gd: 0.0000 0.0003 0.5941  4 Pd 3.03, 1 Ni 3.07, 6 Sn 3.31-3.35
Nd: 0.0000 0.4079 0.4079  4 Pd 3.07, 1 Ni 3.10, 6 Sn 3.30-3.36
Ni: 0.0000 0.9976 0.9976  6 Sn 2.71-2.74
Pd: 0.5000 0.6698 0.3317  3 Sn 2.87-2.94, 4 Gd 3.03, 2 Nd 3.07
Pd: 0.5000 0.3317 0.6698  3 Sn 2.87-2.94, 4 Gd 3.03, 2 Nd 3.07
Sn: 0.5000 0.9978 0.2452  2 Ni 2.74, 2 Pd 2.87-2.93
Sn: 0.5000 0.7556 0.7556  2 Ni 2.71, 2 Pd 2.94
Sn: 0.5000 0.2452 0.9978  2 Ni 2.74, 2 Pd 2.87-2.93

2.
Below is a geometry-optimized TbNdPBr2 structure, with properties calculated at the PBE level.

Properties
- space-group type = P3m1
- total magnetic moment (μB/f.u.) = 0.0
- total DFT energy (no corrections) (eV/atom) = -5.40

a b c (Å): 4.0883 4.0883 10.7242
angles (deg): 90.00 90.00 120.00
Closest atoms and distances in Å follow each position.
Fractional positions:
Br: 0.6667 0.3333 0.3146  3 Tb 2.97
Br: 0.3333 0.6667 0.6769  3 Nd 3.03
Nd: 0.6667 0.3333 0.8545  3 P 2.87, 3 Br 3.03
P: 0.0000 0.0000 0.0074  3 Tb 2.79, 3 Nd 2.87
Tb: 0.3333 0.6667 0.1466  3 P 2.79, 3 Br 2.97

3.
Below is a geometry-optimized SrIn2Hg structure, with properties calculated at the PBE level.

Properties
- space-group type = F-43m
- total DFT energy (no corrections) (eV/atom) = -2.19

a b c (Å): 5.3846 5.3846 5.3846
angles (deg): 60.00 60.00 60.00
Closest atoms and distances in Å follow each position.
Fractional positions:
Hg: 0.2500 0.2500 0.2500  4 Sr 3.30, 4 In 3.30
In: 0.0000 0.0000 0.0000  4 Hg 3.30, 4 In 3.30
In: 0.7500 0.7500 0.7500  4 Sr 3.30, 4 In 3.30
Sr: 0.5000 0.5000 0.5000  4 In 3.30, 4 Hg 3.30

4.
Below is a geometry-optimized NaPrSeO structure, with properties calculated at the PBE level.

Properties
- space-group type = Pmc2_1
- total magnetic moment (μB/f.u.) = 0.0
- offset from the most stable computed form (eV/atom) = 0.2276

a b c (Å): 4.5311 7.4581 6.5770
angles (deg): 90.00 90.00 90.00
Closest atoms and distances in Å follow each position.
Fractional positions:
Na: 0.0000 0.2888 0.1078  2 O 2.63, 2 Se 2.88
Na: 0.0000 0.7112 0.6078  2 O 2.63, 2 Se 2.88
O: 0.5000 0.1231 0.1861  2 Pr 2.23
O: 0.5000 0.8769 0.6861  2 Pr 2.23
Pr: 0.5000 0.8599 0.0252  2 O 2.23
Pr: 0.5000 0.1401 0.5252  2 O 2.23
Se: 0.0000 0.6702 0.1720  2 Pr 2.84, 2 Na 2.88
Se: 0.0000 0.3298 0.6720  2 Pr 2.84, 2 Na 2.88

5.
Below is a geometry-optimized Ac structure, with properties calculated at the PBE level.

Properties
- energy of formation from the pure elements (eV per atom) = 0.01
- space-group type = Fm-3m
- total magnetic moment (μB/f.u.) = 0.0
- offset from the most stable computed form (eV/atom) = 0.0125

a b c (Å): 3.9850 3.9850 3.9850
angles (deg): 120.00 90.00 120.00
Closest atoms and distances in Å follow each position.
Fractional positions:
Ac: 0.0000 0.0000 0.0000  12 Ac 3.99

6.
Below is a geometry-optimized La2Sm2CBr3Cl2 structure, with properties calculated at the PBE level.

Properties
- space-group type = C2/m
- total magnetic moment (μB/f.u.) = 0.4
- offset from the most stable computed form (eV/atom) = 0.0000

a b c (Å): 9.3851 9.3851 8.3055
angles (deg): 105.32 105.32 24.18
Closest atoms and distances in Å follow each position.
Fractional positions:
Br: 0.8338 0.8338 0.1794  1 Sm 3.01, 3 La 3.07-3.32
Br: 0.5000 0.5000 0.5000  4 Sm 3.14
Br: 0.1662 0.1662 0.8206  1 Sm 3.01, 3 La 3.07-3.32
C: 0.5000 0.5000 0.0000  2 La 2.58, 4 Sm 2.60
Cl: 0.1582 0.1582 0.3484  1 Sm 2.81, 2 La 2.88
Cl: 0.8418 0.8418 0.6516  1 Sm 2.81, 2 La 2.88
La: 0.6460 0.6460 0.0892  1 C 2.58, 2 Cl 2.88
La: 0.3540 0.3540 0.9108  1 C 2.58, 2 Cl 2.88
Sm: 0.0007 0.0007 0.2051  2 C 2.60, 1 Cl 2.81
Sm: 0.9993 0.9993 0.7949  2 C 2.60, 1 Cl 2.81

7.
Below is a geometry-optimized NiPdPb2 structure, with properties calculated at the PBE level.

Properties
- space-group type = F-43m
- total magnetic moment (μB/f.u.) = 0.0
- total DFT energy (no corrections) (eV/atom) = -4.22

a b c (Å): 4.9080 4.9080 4.9080
angles (deg): 60.00 60.00 60.00
Closest atoms and distances in Å follow each position.
Fractional positions:
Ni: 0.2500 0.2500 0.2500  4 Pd 3.01, 4 Pb 3.01
Pb: 0.0000 0.0000 0.0000  4 Pb 3.01, 4 Ni 3.01
Pb: 0.7500 0.7500 0.7500  4 Pd 3.01, 4 Pb 3.01
Pd: 0.5000 0.5000 0.5000  4 Pb 3.01, 4 Ni 3.01

8.
Below is a geometry-optimized NaNbSb structure, with properties calculated at the PBE level.

Properties
- space-group type = F-43m
- total magnetic moment (μB/f.u.) = 2.3
- offset from the most stable computed form (eV/atom) = 0.0000

a b c (Å): 4.7743 4.7743 4.7743
angles (deg): 60.00 60.00 60.00
Closest atoms and distances in Å follow each position.
Fractional positions:
Na: 0.2500 0.2500 0.2500  4 Sb 2.92
Nb: 0.7500 0.7500 0.7500  4 Sb 2.92
Sb: 0.0000 0.0000 0.0000  4 Nb 2.92, 4 Na 2.92

9.
Below is a geometry-optimized CoAs structure, with properties calculated at the PBE level.

Properties
- space-group type = Pnma
- total magnetic moment (μB/f.u.) = 0.0
- total DFT energy (no corrections) (eV/atom) = -6.18

a b c (Å): 5.2833 5.8256 3.4715
angles (deg): 90.00 90.00 90.00
Closest atoms and distances in Å follow each position.
Fractional positions:
As: 0.2003 0.5882 0.2500  6 Co 2.31-2.50
As: 0.7003 0.9118 0.2500  6 Co 2.31-2.50
As: 0.2997 0.0882 0.7500  6 Co 2.31-2.50
As: 0.7997 0.4118 0.7500  6 Co 2.31-2.50
Co: 0.0013 0.1983 0.2500  6 As 2.31-2.50
Co: 0.5013 0.3017 0.2500  6 As 2.31-2.50
Co: 0.4987 0.6983 0.7500  6 As 2.31-2.50
Co: 0.9987 0.8017 0.7500  6 As 2.31-2.50

10.
Below is a geometry-optimized PmSiAsO structure, with properties calculated at the PBE level.

Properties
- space-group type = Pmc2_1
- total magnetic moment (μB/f.u.) = 0.0
- offset from the most stable computed form (eV/atom) = 0.1849

a b c (Å): 4.1321 4.6358 7.1681
angles (deg): 90.00 90.00 90.00
Closest atoms and distances in Å follow each position.
Fractional positions:
As: 0.0000 0.3378 0.2821  3 Si 2.52-2.67
As: 0.0000 0.6622 0.7821  3 Si 2.52-2.67
O: 0.5000 0.8134 0.4370  2 Si 2.07
O: 0.5000 0.1866 0.9370  2 Si 2.07
Pm: 0.5000 0.7073 0.0909  3 O 2.48-2.65
Pm: 0.5000 0.2927 0.5909  3 O 2.48-2.65
Si: 0.0000 0.8195 0.4440  2 O 2.07
Si: 0.0000 0.1805 0.9440  2 O 2.07

11.
Below is a geometry-optimized Nd2Tc2S2O5 structure, with properties calculated at the PBE level.

Properties
- space-group type = I4/mmm
- total magnetic moment (μB/f.u.) = 0.0
- total DFT energy (no corrections) (eV/atom) = -7.65

a b c (Å): 11.2902 11.2902 11.2902
angles (deg): 159.60 159.60 29.01
Closest atoms and distances in Å follow each position.
Fractional positions:
Nd: 0.3367 0.3367 0.0000  4 O 2.47
Nd: 0.6633 0.6633 0.0000  4 O 2.47
O: 0.0000 0.0000 0.0000  2 Tc 1.80
O: 0.5969 0.0969 0.5000  2 Tc 2.02
O: 0.9031 0.4031 0.5000  2 Tc 2.02
O: 0.0969 0.5969 0.5000  2 Tc 2.02
O: 0.4031 0.9031 0.5000  2 Tc 2.02
S: 0.2017 0.2017 0.0000  1 Tc 2.61
S: 0.7983 0.7983 0.0000  1 Tc 2.61
Tc: 0.0825 0.0825 0.0000  1 O 1.80
Tc: 0.9175 0.9175 0.0000  1 O 1.80

12.
Below is a geometry-optimized CsIrCl6 structure, with properties calculated at the PBE level.

Properties
- space-group type = R-3m
- total magnetic moment (μB/f.u.) = 2.0
- total DFT energy (no corrections) (eV/atom) = -3.39

a b c (Å): 7.3010 7.3010 7.3010
angles (deg): 55.70 55.70 55.70
Closest atoms and distances in Å follow each position.
Fractional positions:
Cl: 0.6069 0.0881 0.0881  1 Ir 2.32
Cl: 0.0881 0.6069 0.0881  1 Ir 2.32
Cl: 0.9119 0.9119 0.3931  1 Ir 2.32
Cl: 0.0881 0.0881 0.6069  1 Ir 2.32
Cl: 0.9119 0.3931 0.9119  1 Ir 2.32
Cl: 0.3931 0.9119 0.9119  1 Ir 2.32
Cs: 0.5000 0.5000 0.5000  12 Cl 3.83
Ir: 0.0000 0.0000 0.0000  6 Cl 2.32

13.
Below is a geometry-optimized HfCuGeAu structure, with properties calculated at the PBE level.

Properties
- space-group type = F-43m
- total magnetic moment (μB/f.u.) = 0.0
- offset from the most stable computed form (eV/atom) = 0.0000

a b c (Å): 4.5943 4.5943 4.5943
angles (deg): 60.00 60.00 60.00
Closest atoms and distances in Å follow each position.
Fractional positions:
Au: 0.5000 0.5000 0.5000  4 Cu 2.81, 4 Hf 2.81
Cu: 0.7500 0.7500 0.7500  4 Au 2.81, 4 Ge 2.81
Ge: 0.0000 0.0000 0.0000  4 Hf 2.81, 4 Cu 2.81
Hf: 0.2500 0.2500 0.2500  4 Ge 2.81, 4 Au 2.81

14.
Below is a geometry-optimized PmPrAsO structure, with properties calculated at the PBE level.

Properties
- space-group type = P4/nmm
- total magnetic moment (μB/f.u.) = 0.0
- offset from the most stable computed form (eV/atom) = 0.0741

a b c (Å): 4.4378 4.4378 9.3540
angles (deg): 90.00 90.00 90.00
Closest atoms and distances in Å follow each position.
Fractional positions:
As: 0.7500 0.7500 0.2948  4 Pm 2.93
As: 0.2500 0.2500 0.7052  4 Pm 2.93
O: 0.7500 0.2500 0.0000  4 Pr 2.43
O: 0.2500 0.7500 0.0000  4 Pr 2.43
Pm: 0.7500 0.2500 0.5000  4 As 2.93, 4 Pm 3.14
Pm: 0.2500 0.7500 0.5000  4 As 2.93, 4 Pm 3.14
Pr: 0.2500 0.2500 0.1069  4 O 2.43
Pr: 0.7500 0.7500 0.8931  4 O 2.43

15.
Below is a geometry-optimized Dy3Mg3HgPt2 structure, with properties calculated at the PBE level.

Properties
- space-group type = P-62m
- total magnetic moment (μB/f.u.) = 0.0
- total DFT energy (no corrections) (eV/atom) = -4.18

a b c (Å): 7.4753 7.4753 4.0952
angles (deg): 90.00 90.00 120.00
Closest atoms and distances in Å follow each position.
Fractional positions:
Dy: 0.5795 0.0000 0.5000  4 Pt 3.03, 1 Hg 3.14, 2 Mg 3.16
Dy: 0.4205 0.4205 0.5000  4 Pt 3.03, 1 Hg 3.14, 2 Mg 3.16
Dy: 0.0000 0.5795 0.5000  4 Pt 3.03, 1 Hg 3.14, 2 Mg 3.16
Hg: 0.0000 0.0000 0.5000  6 Mg 2.81, 3 Dy 3.14
Mg: 0.2569 0.0000 0.0000  2 Hg 2.81, 2 Pt 2.82
Mg: 0.0000 0.2569 0.0000  2 Hg 2.81, 2 Pt 2.82
Mg: 0.7431 0.7431 0.0000  2 Hg 2.81, 2 Pt 2.82
Pt: 0.6667 0.3333 0.0000  3 Mg 2.82, 6 Dy 3.03
Pt: 0.3333 0.6667 0.0000  3 Mg 2.82, 6 Dy 3.03

16.
Below is a geometry-optimized TeIr2CSe structure, with properties calculated at the PBE level.

Properties
- space-group type = P3m1
- total magnetic moment (μB/f.u.) = 0.0
- total DFT energy (no corrections) (eV/atom) = -6.27

a b c (Å): 3.5180 3.5180 8.8904
angles (deg): 90.00 90.00 120.00
Closest atoms and distances in Å follow each position.
Fractional positions:
C: 0.0000 0.0000 0.9945  6 Ir 2.23-2.24
Ir: 0.6667 0.3333 0.0983  3 C 2.23
Ir: 0.3333 0.6667 0.8891  3 C 2.24
Se: 0.6667 0.3333 0.7144  3 Ir 2.56
Te: 0.3333 0.6667 0.3037  3 Ir 2.73

17.
Below is a geometry-optimized LaMgAgSe3 structure, with properties calculated at the PBE level.

Properties
- space-group type = Cmcm
- total magnetic moment (μB/f.u.) = 0.0
- total DFT energy (no corrections) (eV/atom) = -4.42

a b c (Å): 6.9332 6.9332 11.2180
angles (deg): 90.00 90.00 33.59
Closest atoms and distances in Å follow each position.
Fractional positions:
Ag: 0.5176 0.5176 0.2500  4 Se 2.61-2.67
Ag: 0.4824 0.4824 0.7500  4 Se 2.61-2.67
La: 0.0000 0.0000 0.0000  6 Se 3.00-3.20
La: 0.0000 0.0000 0.5000  6 Se 3.00-3.20
Mg: 0.2306 0.2306 0.2500  6 Se 2.86-2.94
Mg: 0.7694 0.7694 0.7500  6 Se 2.86-2.94
Se: 0.6534 0.6534 0.0814  1 Ag 2.61
Se: 0.8844 0.8844 0.2500  2 Ag 2.67, 2 Mg 2.86
Se: 0.6534 0.6534 0.4186  1 Ag 2.61
Se: 0.3466 0.3466 0.5814  1 Ag 2.61
Se: 0.1156 0.1156 0.7500  2 Ag 2.67, 2 Mg 2.86
Se: 0.3466 0.3466 0.9186  1 Ag 2.61

18.
Below is a geometry-optimized ScTaNiBi structure, with properties calculated at the PBE level.

Properties
- space-group type = F-43m
- total magnetic moment (μB/f.u.) = 1.5
- offset from the most stable computed form (eV/atom) = 0.0000

a b c (Å): 4.7952 4.7952 4.7952
angles (deg): 60.00 60.00 60.00
Closest atoms and distances in Å follow each position.
Fractional positions:
Bi: 0.0000 0.0000 0.0000  4 Ni 2.94, 4 Ta 2.94
Ni: 0.7500 0.7500 0.7500  4 Sc 2.94, 4 Bi 2.94
Sc: 0.5000 0.5000 0.5000  4 Ni 2.94, 4 Ta 2.94
Ta: 0.2500 0.2500 0.2500  4 Sc 2.94, 4 Bi 2.94

19.
Below is a geometry-optimized BaEr2ZnO5 structure, with properties calculated at the PBE level.

Properties
- space-group type = Pnma
- total magnetic moment (μB/f.u.) = 0.0
- total DFT energy (no corrections) (eV/atom) = -7.01

a b c (Å): 7.0171 12.2531 5.6781
angles (deg): 90.00 90.00 90.00
Closest atoms and distances in Å follow each position.
Fractional positions:
Ba: 0.5774 0.3991 0.2500  7 O 2.70-2.99
Ba: 0.9226 0.8991 0.2500  7 O 2.70-2.99
Ba: 0.0774 0.1009 0.7500  7 O 2.70-2.99
Ba: 0.4226 0.6009 0.7500  7 O 2.70-2.99
Er: 0.4004 0.0744 0.2500  7 O 2.27-2.33
Er: 0.1197 0.2920 0.2500  7 O 2.27-2.36
Er: 0.0996 0.5744 0.2500  7 O 2.27-2.33
Er: 0.3803 0.7920 0.2500  7 O 2.27-2.36
Er: 0.6197 0.2080 0.7500  7 O 2.27-2.36
Er: 0.9004 0.4256 0.7500  7 O 2.27-2.33
Er: 0.8803 0.7080 0.7500  7 O 2.27-2.36
Er: 0.5996 0.9256 0.7500  7 O 2.27-2.33
O: 0.3597 0.2237 0.0000  1 Zn 2.12, 3 Er 2.32-2.36
O: 0.8597 0.2763 0.0000  1 Zn 2.12, 3 Er 2.32-2.36
O: 0.1403 0.7237 0.0000  1 Zn 2.12, 3 Er 2.32-2.36
O: 0.6403 0.7763 0.0000  1 Zn 2.12, 3 Er 2.32-2.36
O: 0.6642 0.0655 0.0002  1 Zn 2.03, 2 Er 2.27
O: 0.8358 0.5655 0.0002  1 Zn 2.03, 2 Er 2.27
O: 0.0778 0.1012 0.2500  1 Zn 1.99
O: 0.4222 0.6012 0.2500  1 Zn 1.99
O: 0.6642 0.0655 0.4998  1 Zn 2.03, 2 Er 2.27
O: 0.8358 0.5655 0.4998  1 Zn 2.03, 2 Er 2.27
O: 0.3597 0.2237 0.4999  1 Zn 2.12, 3 Er 2.32-2.36
O: 0.1403 0.7237 0.4999  1 Zn 2.12, 3 Er 2.32-2.36
O: 0.8597 0.2763 0.5001  1 Zn 2.12, 3 Er 2.32-2.36
O: 0.6403 0.7763 0.5001  1 Zn 2.12, 3 Er 2.32-2.36
O: 0.1642 0.4345 0.5002  1 Zn 2.03, 2 Er 2.27
O: 0.3358 0.9345 0.5002  1 Zn 2.03, 2 Er 2.27
O: 0.5778 0.3988 0.7500  1 Zn 1.99
O: 0.9222 0.8988 0.7500  1 Zn 1.99
O: 0.1642 0.4345 0.9998  1 Zn 2.03, 2 Er 2.27
O: 0.3358 0.9345 0.9998  1 Zn 2.03, 2 Er 2.27
Zn: 0.8079 0.1511 0.2500  5 O 1.99-2.12
Zn: 0.6921 0.6511 0.2500  5 O 1.99-2.12
Zn: 0.3079 0.3489 0.7500  5 O 1.99-2.12
Zn: 0.1921 0.8489 0.7500  5 O 1.99-2.12

20.
Below is a geometry-optimized LiInCuTc structure, with properties calculated at the PBE level.

Properties
- space-group type = F-43m
- total magnetic moment (μB/f.u.) = 1.1
- offset from the most stable computed form (eV/atom) = 0.0476

a b c (Å): 4.4270 4.4270 4.4270
angles (deg): 60.00 60.00 60.00
Closest atoms and distances in Å follow each position.
Fractional positions:
Cu: 0.7500 0.7500 0.7500  4 Li 2.71, 4 In 2.71
In: 0.0000 0.0000 0.0000  4 Tc 2.71, 4 Cu 2.71
Li: 0.5000 0.5000 0.5000  4 Cu 2.71, 4 Tc 2.71
Tc: 0.2500 0.2500 0.2500  4 In 2.71, 4 Li 2.71